CuAg2Pb | PBE | optimized geometry

Calculated values
The value obtained for the calculated density is 10.2 Mg/m³. The calculation puts the formation energy at 0.140 eV per atom.

Cell: 3.170 3.330 7.493 Å, 90.00 90.00 90.00°
Positions (direct):
Cu1 0.000 0.000 0.000
Ag1 0.500 0.500 0.195
Ag2 0.500 0.500 0.805
Pb1 0.000 0.000 0.500